# TcTeIr2 | Alexandria | PBE-GGA | optimized geometry
data_TcTeIr2
_space_group_name_H-M_alt 'P 1'
_space_group_IT_number 1
_cell_length_a 4.066
_cell_length_b 3.971
_cell_length_c 3.971
_cell_angle_alpha 90.00
_cell_angle_beta 90.00
_cell_angle_gamma 90.00
loop_
_space_group_symop_operation_xyz
'x,y,z'
loop_
_atom_site_label
_atom_site_fract_x
_atom_site_fract_y
_atom_site_fract_z
_atom_site_occupancy
Te1 0.500 0.000 0.500 1
Ir1 0.000 0.500 0.500 1
Ir2 0.000 0.000 0.000 1
Tc1 0.500 0.500 0.000 1
# - Raw formation energy: 1.5 eV per formula unit

---

# AcZnGaAg3 | Alexandria | PBE-GGA | optimized geometry
data_AcZnGaAg3
_space_group_name_H-M_alt 'P 1'
_space_group_IT_number 1
_cell_length_a 6.369
_cell_length_b 6.741
_cell_length_c 7.193
_cell_angle_alpha 117.94
_cell_angle_beta 90.00
_cell_angle_gamma 90.00
loop_
_space_group_symop_operation_xyz
'x,y,z'
loop_
_atom_site_label
_atom_site_fract_x
_atom_site_fract_y
_atom_site_fract_z
_atom_site_occupancy
Ac1 0.250 0.716 0.433 1
Ac2 0.750 0.284 0.567 1
Zn1 0.750 0.042 0.085 1
Zn2 0.250 0.958 0.915 1
Ag1 0.000 0.291 0.000 1
Ag2 0.750 0.838 0.675 1
Ag3 0.500 0.709 0.000 1
Ag4 0.250 0.162 0.325 1
Ag5 0.000 0.709 0.000 1
Ag6 0.500 0.291 0.000 1
Ga1 0.750 0.631 0.262 1
Ga2 0.250 0.369 0.738 1
# - Formation energy from the elements: -0.131 eV/atom

---

# KCu3Cl8 | Alexandria | PBE-GGA | optimized geometry
data_KCu3Cl8
_space_group_name_H-M_alt 'P 1'
_space_group_IT_number 1
_cell_length_a 6.360
_cell_length_b 6.360
_cell_length_c 8.583
_cell_angle_alpha 90.00
_cell_angle_beta 90.00
_cell_angle_gamma 120.00
loop_
_space_group_symop_operation_xyz
'x,y,z'
loop_
_atom_site_label
_atom_site_fract_x
_atom_site_fract_y
_atom_site_fract_z
_atom_site_occupancy
Cl1 0.333 0.667 0.486 1
Cl2 0.016 0.710 0.165 1
Cl3 0.667 0.333 0.514 1
Cl4 0.710 0.693 0.835 1
Cl5 0.984 0.290 0.835 1
Cl6 0.290 0.307 0.165 1
Cl7 0.693 0.984 0.165 1
Cl8 0.307 0.016 0.835 1
Cu1 0.333 0.667 0.230 1
Cu2 0.000 0.000 0.000 1
Cu3 0.667 0.333 0.770 1
K1 0.000 0.000 0.500 1
# - Raw formation energy: -7.6 eV per formula unit

---

# TiNb6Mo | Alexandria | PBE-GGA | optimized geometry
data_TiNb6Mo
_space_group_name_H-M_alt 'P 1'
_space_group_IT_number 1
_cell_length_a 5.831
_cell_length_b 5.831
_cell_length_c 5.831
_cell_angle_alpha 110.77
_cell_angle_beta 110.77
_cell_angle_gamma 110.77
loop_
_space_group_symop_operation_xyz
'x,y,z'
loop_
_atom_site_label
_atom_site_fract_x
_atom_site_fract_y
_atom_site_fract_z
_atom_site_occupancy
Ti1 0.000 0.000 0.000 1
Nb1 0.749 0.253 0.749 1
Nb2 0.251 0.747 0.251 1
Nb3 0.749 0.749 0.253 1
Nb4 0.253 0.749 0.749 1
Nb5 0.251 0.251 0.747 1
Nb6 0.747 0.251 0.251 1
Mo1 0.500 0.500 0.500 1
# - Formation energy from the elements: 0.146 eV/atom
# - E above lowest polymorph: 0.177 eV/atom

---

# FeAsSe | Alexandria | PBE-GGA | optimized geometry
data_FeAsSe
_space_group_name_H-M_alt 'P 1'
_space_group_IT_number 1
_cell_length_a 3.140
_cell_length_b 3.140
_cell_length_c 7.181
_cell_angle_alpha 90.00
_cell_angle_beta 90.00
_cell_angle_gamma 120.00
loop_
_space_group_symop_operation_xyz
'x,y,z'
loop_
_atom_site_label
_atom_site_fract_x
_atom_site_fract_y
_atom_site_fract_z
_atom_site_occupancy
As1 0.000 0.000 0.104 1
Se1 0.333 0.667 0.556 1
Fe1 0.667 0.333 0.340 1
# - Raw formation energy: -0.2 eV per formula unit

---

# CrAgCl2 | Alexandria | PBE-GGA | optimized geometry
data_CrAgCl2
_space_group_name_H-M_alt 'P 1'
_space_group_IT_number 1
_cell_length_a 3.253
_cell_length_b 6.641
_cell_length_c 6.623
_cell_angle_alpha 50.42
_cell_angle_beta 90.00
_cell_angle_gamma 90.00
loop_
_space_group_symop_operation_xyz
'x,y,z'
loop_
_atom_site_label
_atom_site_fract_x
_atom_site_fract_y
_atom_site_fract_z
_atom_site_occupancy
Cr1 0.500 0.250 0.250 1
Cl1 0.000 0.388 0.390 1
Cl2 0.000 0.112 0.110 1
Ag1 0.500 0.750 0.750 1
# - Raw formation energy: -1.5 eV per formula unit
# - E above lowest polymorph: 0.019 eV/atom

---

# Li2Ca2HoIn5 | Alexandria | PBE-GGA | optimized geometry
data_Li2Ca2HoIn5
_space_group_name_H-M_alt 'P 1'
_space_group_IT_number 1
_cell_length_a 4.559
_cell_length_b 10.375
_cell_length_c 10.375
_cell_angle_alpha 90.00
_cell_angle_beta 90.00
_cell_angle_gamma 90.00
loop_
_space_group_symop_operation_xyz
'x,y,z'
loop_
_atom_site_label
_atom_site_fract_x
_atom_site_fract_y
_atom_site_fract_z
_atom_site_occupancy
In1 0.500 0.435 0.290 1
In2 0.500 0.290 0.565 1
In3 0.500 0.935 0.210 1
In4 0.500 0.565 0.710 1
In5 0.500 0.500 0.000 1
In6 0.500 0.000 0.500 1
In7 0.500 0.790 0.935 1
In8 0.500 0.210 0.065 1
In9 0.500 0.710 0.435 1
In10 0.500 0.065 0.790 1
Li1 0.000 0.117 0.617 1
Li2 0.000 0.883 0.383 1
Li3 0.000 0.617 0.883 1
Li4 0.000 0.383 0.117 1
Ca1 0.000 0.178 0.322 1
Ca2 0.000 0.322 0.822 1
Ca3 0.000 0.678 0.178 1
Ca4 0.000 0.822 0.678 1
Ho1 0.000 0.500 0.500 1
Ho2 0.000 0.000 0.000 1
# - Formation energy from the elements: -0.385 eV/atom

---

# LiBe2Rh2 | Alexandria | PBE-GGA | optimized geometry
data_LiBe2Rh2
_space_group_name_H-M_alt 'P 1'
_space_group_IT_number 1
_cell_length_a 6.153
_cell_length_b 6.153
_cell_length_c 2.913
_cell_angle_alpha 90.00
_cell_angle_beta 90.00
_cell_angle_gamma 90.00
loop_
_space_group_symop_operation_xyz
'x,y,z'
loop_
_atom_site_label
_atom_site_fract_x
_atom_site_fract_y
_atom_site_fract_z
_atom_site_occupancy
Be1 0.373 0.873 0.000 1
Be2 0.627 0.127 0.000 1
Be3 0.127 0.373 0.000 1
Be4 0.873 0.627 0.000 1
Li1 0.500 0.500 0.000 1
Li2 0.000 0.000 0.000 1
Rh1 0.832 0.332 0.500 1
Rh2 0.668 0.832 0.500 1
Rh3 0.332 0.168 0.500 1
Rh4 0.168 0.668 0.500 1
# - Formation energy from the elements: -0.519 eV/atom
# - E above lowest polymorph: 0.000 eV/atom

---

# CsPr2PtO5 | Alexandria | PBE-GGA | optimized geometry
data_CsPr2PtO5
_space_group_name_H-M_alt 'P 1'
_space_group_IT_number 1
_cell_length_a 6.975
_cell_length_b 6.975
_cell_length_c 7.899
_cell_angle_alpha 116.20
_cell_angle_beta 116.20
_cell_angle_gamma 90.00
loop_
_space_group_symop_operation_xyz
'x,y,z'
loop_
_atom_site_label
_atom_site_fract_x
_atom_site_fract_y
_atom_site_fract_z
_atom_site_occupancy
O1 0.492 0.242 0.234 1
O2 0.742 0.992 0.234 1
O3 0.758 0.258 0.766 1
O4 0.000 0.000 0.000 1
O5 0.500 0.500 0.000 1
O6 0.008 0.508 0.766 1
O7 0.242 0.742 0.234 1
O8 0.508 0.758 0.766 1
O9 0.992 0.492 0.234 1
O10 0.258 0.008 0.766 1
Pr1 0.824 0.676 0.000 1
Pr2 0.324 0.824 0.000 1
Pr3 0.676 0.176 0.000 1
Pr4 0.176 0.324 0.000 1
Pt1 0.750 0.250 0.500 1
Pt2 0.250 0.750 0.500 1
Cs1 0.750 0.750 0.500 1
Cs2 0.250 0.250 0.500 1
# - Raw formation energy: -18.1 eV per formula unit

---

# ReGeBr2N | Alexandria | PBE-GGA | optimized geometry
data_ReGeBr2N
_space_group_name_H-M_alt 'P 1'
_space_group_IT_number 1
_cell_length_a 5.469
_cell_length_b 3.720
_cell_length_c 5.469
_cell_angle_alpha 90.00
_cell_angle_beta 90.00
_cell_angle_gamma 90.00
loop_
_space_group_symop_operation_xyz
'x,y,z'
loop_
_atom_site_label
_atom_site_fract_x
_atom_site_fract_y
_atom_site_fract_z
_atom_site_occupancy
N1 0.000 0.000 0.000 1
Re1 0.000 0.500 0.000 1
Ge1 0.500 0.500 0.500 1
Br1 0.500 0.000 0.000 1
Br2 0.000 0.000 0.500 1
# - Raw formation energy: 5.3 eV per formula unit

---

# Nd4Bi8Pd3 | Alexandria | PBE-GGA | optimized geometry
data_Nd4Bi8Pd3
_space_group_name_H-M_alt 'P 1'
_space_group_IT_number 1
_cell_length_a 4.677
_cell_length_b 4.677
_cell_length_c 19.372
_cell_angle_alpha 90.00
_cell_angle_beta 90.00
_cell_angle_gamma 90.00
loop_
_space_group_symop_operation_xyz
'x,y,z'
loop_
_atom_site_label
_atom_site_fract_x
_atom_site_fract_y
_atom_site_fract_z
_atom_site_occupancy
Nd1 0.500 0.000 0.888 1
Nd2 0.000 0.500 0.112 1
Nd3 0.500 0.000 0.383 1
Nd4 0.000 0.500 0.617 1
Bi1 0.500 0.500 0.752 1
Bi2 0.000 0.500 0.923 1
Bi3 0.000 0.000 0.248 1
Bi4 0.500 0.500 0.248 1
Bi5 0.500 0.000 0.583 1
Bi6 0.000 0.000 0.752 1
Bi7 0.000 0.500 0.417 1
Bi8 0.500 0.000 0.077 1
Pd1 0.000 0.000 0.000 1
Pd2 0.000 0.000 0.500 1
Pd3 0.500 0.500 0.500 1
# - Formation energy from the elements: -0.666 eV/atom

---

Number 1: size of the total moment 0.001 μB per formula unit, calculated volume 16.030 A^3/atom. Number 2: size of the total moment 0.000 μB per formula unit, calculated volume 22.737 A^3/atom. Number 3: size of the total moment 0.002 μB per formula unit, calculated volume 25.058 A^3/atom. Number 4: size of the total moment 0.000 μB per formula unit, calculated volume 18.104 A^3/atom. Number 5: size of the total moment 1.736 μB per formula unit, calculated volume 20.438 A^3/atom. Number 6: size of the total moment 3.446 μB per formula unit, calculated volume 27.567 A^3/atom. Number 7: size of the total moment 0.000 μB per formula unit, calculated volume 24.539 A^3/atom. Number 8: size of the total moment 0.000 μB per formula unit, calculated volume 11.027 A^3/atom. Number 9: size of the total moment 1.040 μB per formula unit, calculated volume 16.678 A^3/atom. Number 10: size of the total moment 1.240 μB per formula unit, calculated volume 22.250 A^3/atom. Number 11: size of the total moment 0.000 μB per formula unit, calculated volume 28.247 A^3/atom.